Entry 1:
{"formula": "Zr3Cu2Si2", "functional": "GGA-PBE", "state": "optimized geometry", "sg": "R3m, No. 160", "total_energy_ev_per_atom": -6.47, "lattice_angstrom": [[2.248, 1.298, 7.509], [-2.248, 1.298, 7.509], [0.000, -2.596, 7.509]], "species": ["Zr", "Zr", "Zr", "Cu", "Cu", "Si", "Si"], "frac_coords": [[0.000, 0.000, 0.000], [0.242, 0.242, 0.242], [0.486, 0.486, 0.486], [0.370, 0.370, 0.370], [0.858, 0.858, 0.858], [0.118, 0.118, 0.118], [0.617, 0.617, 0.617]]}

=====

Entry 2:
{"formula": "TmLuIn", "functional": "GGA-PBE", "state": "optimized geometry", "sg": "P6_3/mmc, No. 194", "total_energy_ev_per_atom": -4.25, "lattice_angstrom": [[5.291, 0.000, 0.000], [-2.646, 4.582, 0.000], [0.000, 0.000, 6.620]], "species": ["Tm", "Tm", "Lu", "Lu", "In", "In"], "frac_coords": [[0.333, 0.667, 0.250], [0.667, 0.333, 0.750], [0.000, 0.000, 0.000], [0.000, 0.000, 0.500], [0.333, 0.667, 0.750], [0.667, 0.333, 0.250]]}